1.
A geometry-optimized Ta2Br structure, computed with GGA-PBEsol.

## Properties
spin magnetization = 0.000 Bohr magnetons per cell
formation energy (no corrections) = 0.4597 eV per atom
symmetry = Cmcm, No. 63
E above lowest polymorph = 0.0000 eV per atom

Lattice parameters (Å, degrees): 11.136 11.136 3.525 90.00 90.00 161.71
Fractional coordinates of all 6 atoms:
1 Ta 0.144 0.856 0.750
2 Ta 0.240 0.760 0.250
3 Ta 0.760 0.240 0.750
4 Ta 0.856 0.144 0.250
5 Br 0.421 0.579 0.750
6 Br 0.579 0.421 0.250

---

2.
A geometry-optimized LiPbAu2 structure, computed with GGA-PBEsol.

## Properties
spin magnetization = 0.000 Bohr magnetons per cell
electronic total energy = -3.72 eV per atom
symmetry = P4/mmm, No. 123

Lattice parameters (Å, degrees): 3.369 3.369 6.627 90.00 90.00 90.00
Fractional coordinates of all 4 atoms:
1 Li 0.000 0.000 0.000
2 Pb 0.000 0.000 0.500
3 Au 0.500 0.500 0.207
4 Au 0.500 0.500 0.793